# LaWF2

A relaxed LaWF2 crystal (GGA+U, the Alexandria database).

a b c (Å): 5.397 5.397 8.269
angles (deg): 70.95 70.95 90.00
Each line ends with the local moment (μB).
Fractional coordinates of all 8 atoms:
F 0.326 0.625 0.250  0.02
F 0.875 0.674 0.750  0.02
F 0.375 0.576 0.750  0.02
F 0.424 0.125 0.250  0.02
W 0.750 0.250 0.500  3.79
W 0.000 0.000 0.000  3.79
La 0.500 0.500 0.000  0.03
La 0.250 0.750 0.500  0.03

Summary:
Density (g/cm3): 5.6
Energy relative to the lowest polymorph listed for this composition (meV per atom): 0
Spin magnetization (μB per formula unit): 5.02
Crystal system: tetragonal
DFT total energy (eV/f.u.): -21.91

# Ta12MoO33

A relaxed Ta12MoO33 crystal (GGA+U, the Alexandria database).

a b c (Å): 3.856 11.471 15.200
angles (deg): 83.57 82.71 80.32
Fractional coordinates of all 46 atoms:
O 0.291 0.567 0.850
O 0.023 0.125 0.827
O 0.951 0.756 0.344
O 0.892 0.481 0.732
O 0.448 0.331 0.770
O 0.721 0.575 0.981
O 0.225 0.155 0.398
O 0.707 0.433 0.150
O 0.197 0.024 0.583
O 0.278 0.425 0.019
O 0.804 0.976 0.417
O 0.050 0.244 0.656
O 0.463 0.472 0.599
O 0.533 0.528 0.401
O 0.411 0.049 0.130
O 0.105 0.519 0.268
O 0.680 0.317 0.324
O 0.321 0.683 0.676
O 0.352 0.809 0.490
O 0.121 0.660 0.097
O 0.853 0.220 0.074
O 0.589 0.951 0.870
O 0.147 0.780 0.926
O 0.778 0.845 0.602
O 0.877 0.340 0.903
O 0.074 0.368 0.488
O 0.826 0.100 0.250
O 0.975 0.875 0.173
O 0.930 0.632 0.512
O 0.000 0.000 0.000
O 0.175 0.900 0.750
O 0.652 0.191 0.510
O 0.549 0.669 0.230
Mo 0.752 0.500 0.500
Ta 0.365 0.529 0.733
Ta 0.964 0.283 0.786
Ta 0.254 0.857 0.638
Ta 0.034 0.717 0.214
Ta 0.798 0.377 0.026
Ta 0.627 0.471 0.267
Ta 0.083 0.953 0.881
Ta 0.138 0.187 0.545
Ta 0.749 0.143 0.362
Ta 0.201 0.623 0.974
Ta 0.917 0.047 0.119
Ta 0.870 0.813 0.455

Summary:
Density (g/cm3): 7.1
Spin magnetization (μB per formula unit): 0.00
Crystal system: monoclinic
DFT total energy (eV/f.u.): -439.45

Please write out number 2 again, unchanged.
# Ta12MoO33

A relaxed Ta12MoO33 crystal (GGA+U, the Alexandria database).

a b c (Å): 3.856 11.471 15.200
angles (deg): 83.57 82.71 80.32
Fractional coordinates of all 46 atoms:
O 0.291 0.567 0.850
O 0.023 0.125 0.827
O 0.951 0.756 0.344
O 0.892 0.481 0.732
O 0.448 0.331 0.770
O 0.721 0.575 0.981
O 0.225 0.155 0.398
O 0.707 0.433 0.150
O 0.197 0.024 0.583
O 0.278 0.425 0.019
O 0.804 0.976 0.417
O 0.050 0.244 0.656
O 0.463 0.472 0.599
O 0.533 0.528 0.401
O 0.411 0.049 0.130
O 0.105 0.519 0.268
O 0.680 0.317 0.324
O 0.321 0.683 0.676
O 0.352 0.809 0.490
O 0.121 0.660 0.097
O 0.853 0.220 0.074
O 0.589 0.951 0.870
O 0.147 0.780 0.926
O 0.778 0.845 0.602
O 0.877 0.340 0.903
O 0.074 0.368 0.488
O 0.826 0.100 0.250
O 0.975 0.875 0.173
O 0.930 0.632 0.512
O 0.000 0.000 0.000
O 0.175 0.900 0.750
O 0.652 0.191 0.510
O 0.549 0.669 0.230
Mo 0.752 0.500 0.500
Ta 0.365 0.529 0.733
Ta 0.964 0.283 0.786
Ta 0.254 0.857 0.638
Ta 0.034 0.717 0.214
Ta 0.798 0.377 0.026
Ta 0.627 0.471 0.267
Ta 0.083 0.953 0.881
Ta 0.138 0.187 0.545
Ta 0.749 0.143 0.362
Ta 0.201 0.623 0.974
Ta 0.917 0.047 0.119
Ta 0.870 0.813 0.455

Summary:
Density (g/cm3): 7.1
Spin magnetization (μB per formula unit): 0.00
Crystal system: monoclinic
DFT total energy (eV/f.u.): -439.45

Copy entry 2 word for word.
# Ta12MoO33

A relaxed Ta12MoO33 crystal (GGA+U, the Alexandria database).

a b c (Å): 3.856 11.471 15.200
angles (deg): 83.57 82.71 80.32
Fractional coordinates of all 46 atoms:
O 0.291 0.567 0.850
O 0.023 0.125 0.827
O 0.951 0.756 0.344
O 0.892 0.481 0.732
O 0.448 0.331 0.770
O 0.721 0.575 0.981
O 0.225 0.155 0.398
O 0.707 0.433 0.150
O 0.197 0.024 0.583
O 0.278 0.425 0.019
O 0.804 0.976 0.417
O 0.050 0.244 0.656
O 0.463 0.472 0.599
O 0.533 0.528 0.401
O 0.411 0.049 0.130
O 0.105 0.519 0.268
O 0.680 0.317 0.324
O 0.321 0.683 0.676
O 0.352 0.809 0.490
O 0.121 0.660 0.097
O 0.853 0.220 0.074
O 0.589 0.951 0.870
O 0.147 0.780 0.926
O 0.778 0.845 0.602
O 0.877 0.340 0.903
O 0.074 0.368 0.488
O 0.826 0.100 0.250
O 0.975 0.875 0.173
O 0.930 0.632 0.512
O 0.000 0.000 0.000
O 0.175 0.900 0.750
O 0.652 0.191 0.510
O 0.549 0.669 0.230
Mo 0.752 0.500 0.500
Ta 0.365 0.529 0.733
Ta 0.964 0.283 0.786
Ta 0.254 0.857 0.638
Ta 0.034 0.717 0.214
Ta 0.798 0.377 0.026
Ta 0.627 0.471 0.267
Ta 0.083 0.953 0.881
Ta 0.138 0.187 0.545
Ta 0.749 0.143 0.362
Ta 0.201 0.623 0.974
Ta 0.917 0.047 0.119
Ta 0.870 0.813 0.455

Summary:
Density (g/cm3): 7.1
Spin magnetization (μB per formula unit): 0.00
Crystal system: monoclinic
DFT total energy (eV/f.u.): -439.45